NpTi2In after structural relaxation, computed with PBE-GGA.

a b c (Å): 6.8242 6.8242 6.8242
angles (deg): 90.00 90.00 90.00
Closest atoms and distances in Å follow each position.
Space group Fm-3m (No. 225)
One atom of each set of equivalent atoms:
Np: 0.0000 0.0000 0.0000 (multiplicity 4)  8 Ti 2.95
Ti: 0.2500 0.2500 0.2500 (multiplicity 8)  4 In 2.95, 4 Np 2.95
In: 0.0000 0.0000 0.5000 (multiplicity 4)  8 Ti 2.95

Values from the calculation:
- Fermi-level density of states (states/eV/atom) = 2.389
- relative energy among the computed polymorphs (eV/atom) = 0.089
- calculated formation energy (eV/atom) = 0.175

NpTiIn2 after structural relaxation, computed with PBE-GGA.

a b c (Å): 4.3991 4.3991 4.7494
angles (deg): 90.00 90.00 90.00
Closest atoms and distances in Å follow each position.
Space group P4/mmm (No. 123)
One atom of each set of equivalent atoms:
Np: 0.0000 0.0000 0.0000 (multiplicity 1)  4 Ti 3.11, 8 In 3.24
Ti: 0.5000 0.5000 0.0000 (multiplicity 1)  4 Np 3.11, 8 In 3.24
In: 0.0000 0.5000 0.5000 (multiplicity 2)  4 In 3.11, 4 Np 3.24, 4 Ti 3.24

Values from the calculation:
- Fermi-level density of states (states/eV/atom) = 2.511
- calculated formation energy (eV/atom) = 0.165

NpTi2In after structural relaxation, computed with PBE-GGA.

a b c (Å): 4.9455 4.9455 3.1209
angles (deg): 90.00 90.00 90.00
Closest atoms and distances in Å follow each position.
Space group P4/mmm (No. 123)
One atom of each set of equivalent atoms:
Np: 0.0000 0.0000 0.0000 (multiplicity 1)  8 Ti 2.92, 2 Np 3.12
Ti: 0.0000 0.5000 0.5000 (multiplicity 2)  4 In 2.92, 4 Np 2.92, 2 Ti 3.12
In: 0.5000 0.5000 0.0000 (multiplicity 1)  8 Ti 2.92, 2 In 3.12

Values from the calculation:
- Fermi-level density of states (states/eV/atom) = 1.912
- relative energy among the computed polymorphs (eV/atom) = 0.000
- calculated formation energy (eV/atom) = 0.086

NpTi2In after structural relaxation, computed with PBE-GGA.

a b c (Å): 3.0940 3.0940 28.7057
angles (deg): 90.00 90.00 120.00
Closest atoms and distances in Å follow each position.
Space group R-3m (No. 166, hexagonal axes)
One atom of each set of equivalent atoms:
Np: 0.0000 0.0000 0.0000 (multiplicity 3)  6 Ti 2.95, 6 Np 3.09
Ti: 0.0000 0.0000 0.2515 (multiplicity 6)  3 Np 2.95, 3 In 3.02, 6 Ti 3.09
In: 0.0000 0.0000 0.5000 (multiplicity 3)  6 Ti 3.02, 6 In 3.09

Values from the calculation:
- Fermi-level density of states (states/eV/atom) = 1.843
- relative energy among the computed polymorphs (eV/atom) = 0.104
- calculated formation energy (eV/atom) = 0.190

NpTi2In after structural relaxation, computed with PBE-GGA.

a b c (Å): 3.3530 3.3530 6.8112
angles (deg): 90.00 90.00 90.00
Closest atoms and distances in Å follow each position.
Space group P4/mmm (No. 123)
One atom of each set of equivalent atoms:
Np: 0.0000 0.0000 0.0000 (multiplicity 1)  8 Ti 2.84
Ti: 0.5000 0.5000 0.2285 (multiplicity 2)  4 Np 2.84, 4 In 3.01, 1 Ti 3.11
In: 0.0000 0.0000 0.5000 (multiplicity 1)  8 Ti 3.01, 4 In 3.35

Values from the calculation:
- Fermi-level density of states (states/eV/atom) = 1.917
- relative energy among the computed polymorphs (eV/atom) = 0.055
- calculated formation energy (eV/atom) = 0.141

ZrNpTiIn after structural relaxation, computed with PBE-GGA.

a b c (Å): 7.0033 7.0033 7.0033
angles (deg): 90.00 90.00 90.00
Closest atoms and distances in Å follow each position.
Space group F-43m (No. 216)
One atom of each set of equivalent atoms:
Zr: 0.0000 0.0000 0.0000 (multiplicity 4)  4 In 3.03, 4 Np 3.03
Np: 0.2500 0.2500 0.2500 (multiplicity 4)  4 Zr 3.03, 4 Ti 3.03
Ti: 0.0000 0.0000 0.5000 (multiplicity 4)  4 In 3.03, 4 Np 3.03
In: 0.2500 0.2500 0.7500 (multiplicity 4)  4 Zr 3.03, 4 Ti 3.03

Values from the calculation:
- Fermi-level density of states (states/eV/atom) = 2.839
- calculated formation energy (eV/atom) = 0.199